1.
Pm2Nd3Bi4 after structural relaxation. Source: Alexandria via LeMat-Bulk, functional PBE. Values from VASP.

Values from the calculation:
The formation energy is -732 meV/atom. The calculation puts the calculated density at 8.7 g cm⁻³. As for the magnetization: 0.0 μB per formula unit. The total energy is -45.9 eV/cell.

Geometry as Quantum ESPRESSO input:
```
&SYSTEM
  ibrav = 0, nat = 9, ntyp = 3
/
ATOMIC_SPECIES
Pm 145.00 Pm.upf
Nd 144.24 Nd.upf
Bi 208.98 Bi.upf
ATOMIC_POSITIONS crystal
Pm 0.150 0.150 0.332
Pm 0.850 0.850 0.668
Nd 0.154 0.154 0.722
Nd 0.500 0.500 0.000
Nd 0.846 0.846 0.278
Bi 0.157 0.157 0.033
Bi 0.444 0.444 0.596
Bi 0.556 0.556 0.404
Bi 0.843 0.843 0.967
CELL_PARAMETERS angstrom
7.764 -2.417 0.000
7.764 2.417 0.000
-7.220 0.000 7.887
```


2.
AlRh2 after structural relaxation. Source: Alexandria via LeMat-Bulk, functional PBE. Values from VASP.

Values from the calculation:
The formation energy is -620 meV/atom. The calculation puts the calculated density at 9.2 g cm⁻³. As for the magnetization: 0.0 μB per formula unit. The total energy is -81.2 eV/cell.

Geometry as Quantum ESPRESSO input:
```
&SYSTEM
  ibrav = 0, nat = 12, ntyp = 2
/
ATOMIC_SPECIES
Al 26.98 Al.upf
Rh 102.91 Rh.upf
ATOMIC_POSITIONS crystal
Al 0.000 0.000 0.000
Al 0.068 0.000 0.359
Al 0.320 0.500 0.826
Al 0.684 0.500 0.157
Rh 0.096 0.000 0.686
Rh 0.185 0.500 0.162
Rh 0.343 0.500 0.507
Rh 0.493 0.000 0.987
Rh 0.548 0.000 0.327
Rh 0.603 0.000 0.654
Rh 0.821 0.500 0.851
Rh 0.835 0.500 0.471
CELL_PARAMETERS angstrom
5.297 0.000 0.000
0.000 4.041 0.000
-0.340 0.000 7.891
```


3.
AsPRhAu2 after structural relaxation. Source: Alexandria via LeMat-Bulk, functional PBE. Values from VASP.

Values from the calculation:
The formation energy is -108 meV/atom. The calculation puts the calculated density at 11.2 g cm⁻³. As for the magnetization: 0.0 μB per formula unit. The total energy is -24.5 eV/cell. The calculation puts the offset from the most stable computed form at 19.1 meV per atom.

Geometry as Quantum ESPRESSO input:
```
&SYSTEM
  ibrav = 0, nat = 5, ntyp = 4
/
ATOMIC_SPECIES
As 74.92 As.upf
P 30.97 P.upf
Rh 102.91 Rh.upf
Au 196.97 Au.upf
ATOMIC_POSITIONS crystal
As 0.000 0.000 0.000
P 0.886 0.886 0.000
Rh 0.333 0.333 0.000
Au 0.128 0.128 0.000
Au 0.729 0.729 0.000
CELL_PARAMETERS angstrom
-1.452 1.452 10.561
1.452 -1.452 10.561
1.452 1.452 -10.561
```